No. 1
BeCrFe3: relaxed, PBE.

The calculation puts the polymorph energy (0 for the lowest one) at 0.0 meV/atom. For the density of states at the Fermi level, the calculation gives 3.83 states/eV/f.u.

It has space group Pm-3m (No. 221), with a = 3.7573 Å, b = 3.7573 Å, c = 3.7573 Å, α = 90.00°, β = 90.00° and γ = 90.00°. The distinct sites, in fractional coordinates, are Be at (0.0000, 0.0000, 0.0000), Cr at (0.5000, 0.5000, 0.5000) and Fe at (0.0000, 0.0000, 0.5000).

No. 2
Cs2AlNi: relaxed, PBE.

For the density of states at the Fermi level, the calculation gives 1.66 states/eV/f.u. As for the final energy: -2.48 eV/atom.

It has space group I-42d (No. 122), with a = 13.2118 Å, b = 13.2118 Å, c = 4.6744 Å, α = 90.00°, β = 90.00° and γ = 90.00°. The distinct sites, in fractional coordinates, are Cs at (0.0575, 0.2500, 0.1250), Al at (0.0000, 0.0000, 0.5000) and Ni at (0.0000, 0.0000, 0.0000).

No. 3
RbZn2H4: relaxed, PBE.

For the density of states at the Fermi level, the calculation gives 0.43 states/eV/f.u. As for the final energy: -2.31 eV/atom.

It has space group Cccm (No. 66), with a = 5.0650 Å, b = 7.6939 Å, c = 10.7330 Å, α = 90.00°, β = 90.00° and γ = 90.00°. The distinct sites, in fractional coordinates, are Rb at (0.0000, 0.0000, 0.2500), Zn at (0.9995, 0.3243, 0.0000), H at (0.1514, 0.1121, 0.0000) and H at (0.2500, 0.2500, 0.3901).

No. 4
LiMoPd: relaxed, PBE.

For the density of states at the Fermi level, the calculation gives 1.72 states/eV/f.u. As for the final energy: -5.95 eV/atom.

It has space group I4/mmm (No. 139), with a = 3.1331 Å, b = 3.1331 Å, c = 21.4080 Å, α = 90.00°, β = 90.00° and γ = 90.00°. The distinct sites, in fractional coordinates, are Li at (0.0000, 0.0000, 0.0690), Mo at (0.0000, 0.0000, 0.2184) and Pd at (0.0000, 0.0000, 0.3628).

No. 5
Er4TlAg3: relaxed, PBE.

The calculation puts the polymorph energy (0 for the lowest one) at 0.0 meV/atom. For the density of states at the Fermi level, the calculation gives 4.41 states/eV/f.u.

It has space group P4/mmm (No. 123), with a = 3.5758 Å, b = 3.5758 Å, c = 15.1657 Å, α = 90.00°, β = 90.00° and γ = 90.00°. The distinct sites, in fractional coordinates, are Er at (0.0000, 0.0000, 0.1213), Er at (0.0000, 0.0000, 0.3622), Tl at (0.5000, 0.5000, 0.5000), Ag at (0.5000, 0.5000, 0.0000) and Ag at (0.5000, 0.5000, 0.2419).

No. 6
Cs2HoTe3O12: relaxed, PBE.

For the density of states at the Fermi level, the calculation gives 11.94 states/eV/f.u. The formation energy (no corrections) comes out at -1485.8 meV per atom.

It has space group R-3m (No. 166, hexagonal axes), with a = 7.4354 Å, b = 7.4354 Å, c = 18.9256 Å, α = 90.00°, β = 90.00° and γ = 120.00°. The distinct sites, in fractional coordinates, are Cs at (0.0000, 0.0000, 0.1228), Ho at (0.0000, 0.0000, 0.5000), Te at (0.0000, 0.5000, 0.0000), O at (0.0510, 0.5255, 0.0981) and O at (0.0698, 0.5349, 0.3505).